(1)
Below is Tb4Nd3Tm after structural relaxation, with properties calculated at the GGA-PBE level.

```
Tb4Nd3Tm
1.0
11.6333 0.0000 0.0000
0.0000 6.2484 0.0000
0.0000 0.0000 7.2293
Tb Nd Tm
8 6 2
direct
0.0000 0.1670 0.0000 Tb
0.0000 0.6668 0.2501 Tb
0.2495 0.4996 0.4994 Tb
0.2505 0.5004 0.9994 Tb
0.5000 0.3332 0.7501 Tb
0.5000 0.8330 0.5000 Tb
0.7495 0.5004 0.9994 Tb
0.7505 0.4996 0.4994 Tb
0.0000 0.6672 0.7490 Nd
0.2489 0.9983 0.2488 Nd
0.2511 0.0017 0.7488 Nd
0.5000 0.3328 0.2490 Nd
0.7489 0.0017 0.7488 Nd
0.7511 0.9983 0.2488 Nd
0.0000 0.1667 0.4978 Tm
0.5000 0.8333 0.9978 Tm
```

## Properties
DFT formation energy = 0.0014 eV/atom
energy above the lowest structure with this stoichiometry = 0.0 kJ/mol of formula units
E = -4.66 eV/atom
size of the total moment = 0.00 μB per formula unit

(2)
Below is Tb2NdTm6 after structural relaxation, with properties calculated at the GGA-PBE level.

```
Tb2NdTm6
1.0
10.5660 0.0000 0.0000
0.0000 10.5660 0.0000
0.0000 0.0000 4.9957
Tb Nd Tm
4 2 12
direct
0.1678 0.1678 0.0000 Tb
0.3322 0.6678 0.5000 Tb
0.6678 0.3322 0.5000 Tb
0.8322 0.8322 0.0000 Tb
0.0000 0.0000 0.5000 Nd
0.5000 0.5000 0.0000 Nd
0.0006 0.3349 0.5000 Tm
0.1651 0.5006 0.0000 Tm
0.1681 0.8319 0.0000 Tm
0.3319 0.3319 0.5000 Tm
0.3349 0.0006 0.5000 Tm
0.4994 0.8349 0.0000 Tm
0.5006 0.1651 0.0000 Tm
0.6651 0.9994 0.5000 Tm
0.6681 0.6681 0.5000 Tm
0.8319 0.1681 0.0000 Tm
0.8349 0.4994 0.0000 Tm
0.9994 0.6651 0.5000 Tm
```

## Properties
DFT formation energy = 0.0252 eV/atom
energy above the lowest structure with this stoichiometry = 0.0 kJ/mol of formula units
E = -4.51 eV/atom
size of the total moment = 0.00 μB per formula unit

(3)
Below is TbNdTm2 after structural relaxation, with properties calculated at the GGA-PBE level.

```
TbNdTm2
1.0
1.7862 1.0313 11.5063
-1.7862 1.0313 11.5063
0.0000 -2.0625 11.5063
Tb Nd Tm
1 1 2
direct
0.0000 0.0000 0.0000 Tb
0.1658 0.1658 0.1658 Nd
0.4150 0.4150 0.4150 Tm
0.5846 0.5846 0.5846 Tm
```

## Properties
DFT formation energy = 0.0232 eV/atom
energy above the lowest structure with this stoichiometry = 7.6 kJ/mol of formula units
E = -4.56 eV/atom
size of the total moment = 0.00 μB per formula unit

(4)
Below is Tb8NdTm2 after structural relaxation, with properties calculated at the GGA-PBE level.

```
Tb8NdTm2
1.0
4.5166 -8.2214 0.0000
4.5166 8.2214 0.0000
-3.4110 0.0000 4.8146
Tb Nd Tm
8 1 2
direct
0.0983 0.3437 0.6902 Tb
0.2049 0.7951 0.0000 Tb
0.3437 0.0983 0.6902 Tb
0.4363 0.4363 0.2086 Tb
0.5637 0.5637 0.7914 Tb
0.6563 0.9017 0.3098 Tb
0.7951 0.2049 0.0000 Tb
0.9017 0.6563 0.3098 Tb
0.0000 0.0000 0.0000 Nd
0.3104 0.6896 0.5000 Tm
0.6896 0.3104 0.5000 Tm
```

## Properties
DFT formation energy = 0.1535 eV/atom
energy above the lowest structure with this stoichiometry = 41.0 kJ/mol of formula units
E = -4.46 eV/atom
size of the total moment = 0.00 μB per formula unit

> Look up the DFT formation energy of the third one.

0.0232 eV/atom